Entry A
The following is a DFT calculation (PBE) of a relaxed TlCd3Sn2 crystal.

## Properties
Total magnetization: 0.000 μB/cell

```
data_TlCd3Sn2
_cell_length_a 17.2738
_cell_length_b 5.2961
_cell_length_c 8.2542
_cell_angle_alpha 90.00
_cell_angle_beta 118.53
_cell_angle_gamma 90.00
_symmetry_space_group_name_H-M 'C 1 2/m 1'
_symmetry_Int_Tables_number 12
loop_
_symmetry_equiv_pos_as_xyz
'x,y,z'
'-x,-y,-z'
'-x,y,-z'
'x,-y,z'
'x+1/2,y+1/2,z'
'-x+1/2,-y+1/2,-z'
'-x+1/2,y+1/2,-z'
'x+1/2,-y+1/2,z'
loop_
_atom_site_label
_atom_site_fract_x
_atom_site_fract_y
_atom_site_fract_z
_atom_site_occupancy
Tl1 0.1266 0.0000 0.1262 1
Cd1 0.0003 0.0000 0.3283 1
Cd2 0.1859 0.5000 0.4799 1
Cd3 0.1858 0.5000 0.8917 1
Sn1 0.0000 0.5000 0.1763 1
Sn2 0.1856 0.0000 0.6858 1
```

=====

Entry B
The following is a DFT calculation (PBE) of a relaxed TlCd3Sn2 crystal.

## Properties
Total magnetization: 0.000 μB/cell

```
data_TlCd3Sn2
_cell_length_a 10.2795
_cell_length_b 9.8835
_cell_length_c 6.5816
_cell_angle_alpha 90.00
_cell_angle_beta 90.00
_cell_angle_gamma 90.00
_symmetry_space_group_name_H-M 'C m c m'
_symmetry_Int_Tables_number 63
_symmetry_space_group_name_Hall '-C 2c 2'
loop_
_atom_site_label
_atom_site_fract_x
_atom_site_fract_y
_atom_site_fract_z
_atom_site_occupancy
Tl1 0.0000 0.1816 0.2500 1
Cd1 0.0000 0.4995 0.2500 1
Cd2 0.1454 0.2371 0.7500 1
Sn1 0.2450 0.0000 0.0000 1
```

=====

Relative energies, meV/atom: entry A 0; entry B 26.

=====

Entry A
The following is a DFT calculation (PBE) of a relaxed Tl3Cd4Sn2 crystal.

## Properties
Total magnetization: 0.000 μB/cell

```
data_Tl3Cd4Sn2
_cell_length_a 12.7801
_cell_length_b 4.6466
_cell_length_c 9.6903
_cell_angle_alpha 90.00
_cell_angle_beta 117.40
_cell_angle_gamma 90.00
_symmetry_space_group_name_H-M 'C 1 2/m 1'
_symmetry_Int_Tables_number 12
loop_
_symmetry_equiv_pos_as_xyz
'x,y,z'
'-x,-y,-z'
'-x,y,-z'
'x,-y,z'
'x+1/2,y+1/2,z'
'-x+1/2,-y+1/2,-z'
'-x+1/2,y+1/2,-z'
'x+1/2,-y+1/2,z'
loop_
_atom_site_label
_atom_site_fract_x
_atom_site_fract_y
_atom_site_fract_z
_atom_site_occupancy
Tl1 0.0000 0.0000 0.0000 1
Tl2 0.1382 0.5000 0.6946 1
Cd1 0.0471 0.0000 0.3818 1
Cd2 0.1960 0.5000 0.0490 1
Sn1 0.1813 0.5000 0.3540 1
```

=====

Entry B
The following is a DFT calculation (PBE) of a relaxed Tl3Cd4Sn2 crystal.

## Properties
Total magnetization: 0.000 μB/cell

```
data_Tl3Cd4Sn2
_cell_length_a 4.4994
_cell_length_b 7.3585
_cell_length_c 8.0068
_cell_angle_alpha 105.97
_cell_angle_beta 105.80
_cell_angle_gamma 90.17
_symmetry_space_group_name_H-M 'P -1'
_symmetry_Int_Tables_number 2
loop_
_symmetry_equiv_pos_as_xyz
'x,y,z'
'-x,-y,-z'
loop_
_atom_site_label
_atom_site_fract_x
_atom_site_fract_y
_atom_site_fract_z
_atom_site_occupancy
Tl1 0.0000 0.0000 0.0000 1
Tl2 0.4427 0.6545 0.8831 1
Cd1 0.1221 0.6920 0.2443 1
Cd2 0.3272 0.9961 0.6556 1
Sn1 0.2259 0.3374 0.4533 1
```

=====

Relative energies, meV/atom: entry A 16; entry B 0.

=====

Entry A
The following is a DFT calculation (PBE) of a relaxed Tm2CdSn4 crystal.

## Properties
Total magnetization: 0.000 μB/cell

```
data_Tm2CdSn4
_cell_length_a 4.4246
_cell_length_b 4.4246
_cell_length_c 9.5299
_cell_angle_alpha 90.00
_cell_angle_beta 90.00
_cell_angle_gamma 90.00
_symmetry_space_group_name_H-M 'P -4 m 2'
_symmetry_Int_Tables_number 115
loop_
_symmetry_equiv_pos_as_xyz
'x,y,z'
'y,-x,-z'
'-x,-y,z'
'-y,x,-z'
'-x,y,z'
'-y,-x,-z'
'x,-y,z'
'y,x,-z'
loop_
_atom_site_label
_atom_site_fract_x
_atom_site_fract_y
_atom_site_fract_z
_atom_site_occupancy
Tm1 0.0000 0.5000 0.2425 1
Cd1 0.5000 0.5000 0.0000 1
Sn1 0.0000 0.0000 0.5000 1
Sn2 0.0000 0.5000 0.8050 1
Sn3 0.5000 0.5000 0.5000 1
```

=====

Entry B
The following is a DFT calculation (PBE) of a relaxed Tm2CdSn4 crystal.

## Properties
Total magnetization: 0.000 μB/cell

```
data_Tm2CdSn4
_cell_length_a 8.8583
_cell_length_b 9.3006
_cell_length_c 4.5541
_cell_angle_alpha 90.00
_cell_angle_beta 90.00
_cell_angle_gamma 90.00
_symmetry_space_group_name_H-M 'C m m m'
_symmetry_Int_Tables_number 65
_symmetry_space_group_name_Hall '-C 2 2'
loop_
_atom_site_label
_atom_site_fract_x
_atom_site_fract_y
_atom_site_fract_z
_atom_site_occupancy
Tm1 0.0000 0.2481 0.0000 1
Cd1 0.0000 0.5000 0.5000 1
Sn1 0.2408 0.0000 0.0000 1
Sn2 0.2500 0.2500 0.5000 1
```

=====

Relative energies, meV/atom: entry A 45; entry B 0.

=====

Entry A
The following is a DFT calculation (PBE) of a relaxed TmCdSn2 crystal.

## Properties
Total magnetization: 0.000 μB/cell

```
data_TmCdSn2
_cell_length_a 4.5508
_cell_length_b 4.5508
_cell_length_c 18.9083
_cell_angle_alpha 90.00
_cell_angle_beta 90.00
_cell_angle_gamma 120.00
_symmetry_space_group_name_H-M 'R 3 m'
_symmetry_Int_Tables_number 160
_symmetry_space_group_name_Hall 'R 3 -2"'
loop_
_atom_site_label
_atom_site_fract_x
_atom_site_fract_y
_atom_site_fract_z
_atom_site_occupancy
Tm1 0.0000 0.0000 0.0000 1
Cd1 0.0000 0.0000 0.8234 1
Sn1 0.0000 0.0000 0.4152 1
Sn2 0.0000 0.0000 0.5744 1
```

=====

Entry B
The following is a DFT calculation (PBE) of a relaxed TmCdSn2 crystal.

## Properties
Total magnetization: 0.000 μB/cell

```
data_TmCdSn2
_cell_length_a 4.7248
_cell_length_b 4.7248
_cell_length_c 4.3978
_cell_angle_alpha 90.00
_cell_angle_beta 90.00
_cell_angle_gamma 90.00
_symmetry_space_group_name_H-M 'P 4/m m m'
_symmetry_Int_Tables_number 123
_symmetry_space_group_name_Hall '-P 4 2'
loop_
_atom_site_label
_atom_site_fract_x
_atom_site_fract_y
_atom_site_fract_z
_atom_site_occupancy
Tm1 0.0000 0.0000 0.0000 1
Cd1 0.5000 0.5000 0.0000 1
Sn1 0.0000 0.5000 0.5000 1
```

=====

Relative energies, meV/atom: entry A 191; entry B 0.

=====

Entry A
The following is a DFT calculation (PBE) of a relaxed TmCdSn2 crystal.

## Properties
Total magnetization: 0.000 μB/cell

```
data_TmCdSn2
_cell_length_a 6.9437
_cell_length_b 8.4680
_cell_length_c 3.4673
_cell_angle_alpha 90.00
_cell_angle_beta 90.00
_cell_angle_gamma 90.00
_symmetry_space_group_name_H-M 'C m m m'
_symmetry_Int_Tables_number 65
_symmetry_space_group_name_Hall '-C 2 2'
loop_
_atom_site_label
_atom_site_fract_x
_atom_site_fract_y
_atom_site_fract_z
_atom_site_occupancy
Tm1 0.0000 0.0000 0.0000 1
Cd1 0.0000 0.5000 0.0000 1
Sn1 0.2500 0.2500 0.5000 1
```

=====

Entry B
The following is a DFT calculation (PBE) of a relaxed TmCdSn2 crystal.

## Properties
Total magnetization: 0.000 μB/cell

```
data_TmCdSn2
_cell_length_a 4.9362
_cell_length_b 4.9362
_cell_length_c 14.8798
_cell_angle_alpha 90.00
_cell_angle_beta 90.00
_cell_angle_gamma 120.00
_symmetry_space_group_name_H-M 'R -3 m'
_symmetry_Int_Tables_number 166
_symmetry_space_group_name_Hall '-R 3 2"'
loop_
_atom_site_label
_atom_site_fract_x
_atom_site_fract_y
_atom_site_fract_z
_atom_site_occupancy
Tm1 0.0000 0.0000 0.0000 1
Cd1 0.0000 0.0000 0.5000 1
Sn1 0.0000 0.0000 0.2446 1
```

=====

Relative energies, meV/atom: entry A 0; entry B 154.

=====

Entry A
The following is a DFT calculation (PBE) of a relaxed VCd3Sn crystal.

## Properties
Total magnetization: 4.561 μB/cell

```
data_VCd3Sn
_cell_length_a 5.4654
_cell_length_b 5.4654
_cell_length_c 5.4654
_cell_angle_alpha 90.00
_cell_angle_beta 90.00
_cell_angle_gamma 90.00
_symmetry_space_group_name_H-M 'P m -3 m'
_symmetry_Int_Tables_number 221
_symmetry_space_group_name_Hall '-P 4 2 3'
loop_
_atom_site_label
_atom_site_fract_x
_atom_site_fract_y
_atom_site_fract_z
_atom_site_occupancy
V1 0.0000 0.0000 0.0000 1
Cd1 0.0000 0.5000 0.5000 1
Sn1 0.5000 0.5000 0.5000 1
```

=====

Entry B
The following is a DFT calculation (PBE) of a relaxed VCd3Sn crystal.

## Properties
Total magnetization: 3.245 μB/cell

```
data_VCd3Sn
_cell_length_a 5.2669
_cell_length_b 5.2669
_cell_length_c 5.2669
_cell_angle_alpha 90.00
_cell_angle_beta 90.00
_cell_angle_gamma 90.00
_symmetry_space_group_name_H-M 'P m -3 m'
_symmetry_Int_Tables_number 221
_symmetry_space_group_name_Hall '-P 4 2 3'
loop_
_atom_site_label
_atom_site_fract_x
_atom_site_fract_y
_atom_site_fract_z
_atom_site_occupancy
V1 0.0000 0.0000 0.0000 1
Cd1 0.0000 0.0000 0.5000 1
Sn1 0.5000 0.5000 0.5000 1
```

=====

Relative energies, meV/atom: entry A 251; entry B 0.